Version P
Density functional theory data (PBE-GGA) for AcTe3Au3 after structural relaxation.

Calculated values
Symmetry: R-3 (148)
Density in g cm⁻³: 8.940

a b c (Å): 9.019 9.019 9.019
angles (deg): 54.00 54.00 54.00
Element x y z (fractional)
Ac1 0.167 0.167 0.167
Ac2 0.833 0.833 0.833
Te1 0.096 0.729 0.413
Te2 0.271 0.587 0.904
Te3 0.413 0.096 0.729
Te4 0.587 0.904 0.271
Te5 0.729 0.413 0.096
Te6 0.904 0.271 0.587
Au1 0.049 0.404 0.760
Au2 0.240 0.951 0.596
Au3 0.404 0.760 0.049
Au4 0.596 0.240 0.951
Au5 0.760 0.049 0.404
Au6 0.951 0.596 0.240

---

Version Q
Density functional theory data (PBE-GGA) for AcTe3Au3 after structural relaxation.

Calculated values
Symmetry: Pm-3n (223)
Density in g cm⁻³: 8.743

a b c (Å): 7.698 7.698 7.698
angles (deg): 90.00 90.00 90.00
Element x y z (fractional)
Ac1 0.000 0.000 0.000
Ac2 0.500 0.500 0.500
Te1 0.000 0.250 0.500
Te2 0.000 0.750 0.500
Te3 0.250 0.500 0.000
Te4 0.500 0.000 0.250
Te5 0.500 0.000 0.750
Te6 0.750 0.500 0.000
Au1 0.000 0.500 0.250
Au2 0.000 0.500 0.750
Au3 0.250 0.000 0.500
Au4 0.500 0.250 0.000
Au5 0.500 0.750 0.000
Au6 0.750 0.000 0.500

---

Bottom line: version P, by a margin of 41.7 kJ/mol of atoms.

---

Version P
Density functional theory data (PBE-GGA) for AcThAu after structural relaxation.

Calculated values
Symmetry: Cmmm (65)
Density in g cm⁻³: 9.304

a b c (Å): 9.385 11.035 4.522
angles (deg): 90.00 90.00 90.00
Element x y z (fractional)
Ac1 0.000 0.209 0.000
Ac2 0.000 0.791 0.000
Ac3 0.500 0.291 0.000
Ac4 0.500 0.709 0.000
Th1 0.199 0.500 0.500
Th2 0.301 0.000 0.500
Th3 0.699 0.000 0.500
Th4 0.801 0.500 0.500
Au1 0.000 0.000 0.500
Au2 0.000 0.500 0.000
Au3 0.500 0.000 0.000
Au4 0.500 0.500 0.500

---

Version Q
Density functional theory data (PBE-GGA) for AcThAu after structural relaxation.

Calculated values
Symmetry: I4mm (107)
Density in g cm⁻³: 11.408

a b c (Å): 3.851 3.851 12.876
angles (deg): 90.00 90.00 90.00
Element x y z (fractional)
Ac1 0.000 0.000 0.000
Ac2 0.500 0.500 0.500
Th1 0.000 0.000 0.294
Th2 0.500 0.500 0.794
Au1 0.000 0.000 0.677
Au2 0.500 0.500 0.177

---

Version R
Density functional theory data (PBE-GGA) for AcThAu after structural relaxation.

Calculated values
Symmetry: P-6m2 (187)
Density in g cm⁻³: 10.697

a b c (Å): 5.017 5.017 4.672
angles (deg): 90.00 90.00 120.00
Element x y z (fractional)
Ac1 0.000 0.000 0.000
Th1 0.333 0.667 0.500
Au1 0.667 0.333 0.500

---

Bottom line: version Q, by a margin of 15.1 kJ/mol of atoms.

---

Version P
Density functional theory data (PBE-GGA) for Ac2ThAu after structural relaxation.

Calculated values
Symmetry: P4/mmm (123)
Density in g cm⁻³: 10.841

a b c (Å): 3.850 3.850 9.124
angles (deg): 90.00 90.00 90.00
Element x y z (fractional)
Ac1 0.000 0.000 0.217
Ac2 0.000 0.000 0.783
Th1 0.500 0.500 0.500
Au1 0.500 0.500 0.000

---

Version Q
Density functional theory data (PBE-GGA) for Ac2ThAu after structural relaxation.

Calculated values
Symmetry: R-3m (166)
Density in g cm⁻³: 10.117

a b c (Å): 3.739 3.739 35.905
angles (deg): 90.00 90.00 120.00
Element x y z (fractional)
Ac1 0.000 0.000 0.100
Ac2 0.000 0.000 0.900
Ac3 0.333 0.667 0.566
Ac4 0.333 0.667 0.767
Ac5 0.667 0.333 0.233
Ac6 0.667 0.333 0.434
Th1 0.000 0.000 0.000
Th2 0.333 0.667 0.667
Th3 0.667 0.333 0.333
Au1 0.000 0.000 0.500
Au2 0.333 0.667 0.167
Au3 0.667 0.333 0.833

---

Bottom line: version P, by a margin of 36.6 kJ/mol of atoms.

---

Version P
Density functional theory data (PBE-GGA) for AcTl2Au after structural relaxation.

Calculated values
Symmetry: P4/mmm (123)
Density in g cm⁻³: 11.783

a b c (Å): 4.677 4.677 5.366
angles (deg): 90.00 90.00 90.00
Element x y z (fractional)
Ac1 0.000 0.000 0.000
Tl1 0.000 0.500 0.500
Tl2 0.500 0.000 0.500
Au1 0.500 0.500 0.000

---

Version Q
Density functional theory data (PBE-GGA) for AcTl2Au after structural relaxation.

Calculated values
Symmetry: Fm-3m (225)
Density in g cm⁻³: 12.244

a b c (Å): 7.673 7.673 7.673
angles (deg): 90.00 90.00 90.00
Element x y z (fractional)
Ac1 0.000 0.000 0.000
Ac2 0.000 0.500 0.500
Ac3 0.500 0.000 0.500
Ac4 0.500 0.500 0.000
Tl1 0.250 0.250 0.250
Tl2 0.250 0.250 0.750
Tl3 0.250 0.750 0.250
Tl4 0.250 0.750 0.750
Tl5 0.750 0.250 0.250
Tl6 0.750 0.250 0.750
Tl7 0.750 0.750 0.250
Tl8 0.750 0.750 0.750
Au1 0.000 0.000 0.500
Au2 0.000 0.500 0.000
Au3 0.500 0.000 0.000
Au4 0.500 0.500 0.500

---

Version R
Density functional theory data (PBE-GGA) for AcTl2Au after structural relaxation.

Calculated values
Symmetry: P4/mmm (123)
Density in g cm⁻³: 12.150

a b c (Å): 3.878 3.878 7.568
angles (deg): 90.00 90.00 90.00
Element x y z (fractional)
Ac1 0.000 0.000 0.000
Tl1 0.500 0.500 0.294
Tl2 0.500 0.500 0.706
Au1 0.000 0.000 0.500

---

Bottom line: version P, by a margin of 10.1 kJ/mol of atoms.

---

Version P
Density functional theory data (PBE-GGA) for AcTl2Au after structural relaxation.

Calculated values
Symmetry: R-3m (166)
Density in g cm⁻³: 9.814

a b c (Å): 3.948 3.948 31.308
angles (deg): 90.00 90.00 120.00
Element x y z (fractional)
Ac1 0.000 0.000 0.000
Ac2 0.333 0.667 0.667
Ac3 0.667 0.333 0.333
Tl1 0.000 0.000 0.108
Tl2 0.000 0.000 0.892
Tl3 0.333 0.667 0.559
Tl4 0.333 0.667 0.775
Tl5 0.667 0.333 0.225
Tl6 0.667 0.333 0.441
Au1 0.000 0.000 0.500
Au2 0.333 0.667 0.167
Au3 0.667 0.333 0.833

---

Version Q
Density functional theory data (PBE-GGA) for AcTl2Au after structural relaxation.

Calculated values
Symmetry: I4/mmm (139)
Density in g cm⁻³: 11.828

a b c (Å): 5.186 5.186 17.388
angles (deg): 90.00 90.00 90.00
Element x y z (fractional)
Ac1 0.000 0.000 0.143
Ac2 0.000 0.000 0.857
Ac3 0.500 0.500 0.357
Ac4 0.500 0.500 0.643
Tl1 0.000 0.000 0.361
Tl2 0.000 0.000 0.639
Tl3 0.000 0.500 0.000
Tl4 0.000 0.500 0.500
Tl5 0.500 0.000 0.000
Tl6 0.500 0.000 0.500
Tl7 0.500 0.500 0.139
Tl8 0.500 0.500 0.861
Au1 0.000 0.500 0.250
Au2 0.000 0.500 0.750
Au3 0.500 0.000 0.250
Au4 0.500 0.000 0.750

---

Bottom line: version Q, by a margin of 50.8 kJ/mol of atoms.

---

Version P
Density functional theory data (PBE-GGA) for Ac6Tl2Au after structural relaxation.

Calculated values
Symmetry: P2_1/c (14)
Density in g cm⁻³: 9.244

a b c (Å): 7.122 9.180 12.773
angles (deg): 90.00 122.16 90.00
Element x y z (fractional)
Ac1 0.073 0.170 0.443
Ac2 0.073 0.330 0.943
Ac3 0.316 0.687 0.440
Ac4 0.316 0.813 0.940
Ac5 0.401 0.038 0.268
Ac6 0.401 0.462 0.768
Ac7 0.599 0.538 0.232
Ac8 0.599 0.962 0.732
Ac9 0.684 0.187 0.060
Ac10 0.684 0.313 0.560
Ac11 0.927 0.670 0.057
Ac12 0.927 0.830 0.557
Tl1 0.178 0.122 0.755
Tl2 0.178 0.378 0.255
Tl3 0.822 0.622 0.745
Tl4 0.822 0.878 0.245
Au1 0.000 0.000 0.000
Au2 0.000 0.500 0.500

---

Version Q
Density functional theory data (PBE-GGA) for Ac6Tl2Au after structural relaxation.

Calculated values
Symmetry: Immm (71)
Density in g cm⁻³: 9.484

a b c (Å): 9.641 9.641 9.641
angles (deg): 111.41 109.28 107.74
Element x y z (fractional)
Ac1 0.050 0.218 0.832
Ac2 0.249 0.581 0.332
Ac3 0.249 0.917 0.668
Ac4 0.269 0.312 0.581
Ac5 0.269 0.688 0.958
Ac6 0.385 0.218 0.168
Ac7 0.615 0.782 0.832
Ac8 0.731 0.312 0.042
Ac9 0.731 0.688 0.419
Ac10 0.751 0.083 0.332
Ac11 0.751 0.419 0.668
Ac12 0.950 0.782 0.168
Tl1 0.000 0.149 0.149
Tl2 0.000 0.851 0.851
Tl3 0.368 0.000 0.368
Tl4 0.632 0.000 0.632
Au1 0.000 0.500 0.500
Au2 0.500 0.500 0.000

---

Bottom line: version P, by a margin of 2.4 kJ/mol of atoms.

---

Version P
Density functional theory data (PBE-GGA) for Ac2TlAu6 after structural relaxation.

Calculated values
Symmetry: P6/mmm (191)
Density in g cm⁻³: 12.989

a b c (Å): 8.341 8.341 3.905
angles (deg): 90.00 90.00 120.00
Element x y z (fractional)
Ac1 0.333 0.667 0.000
Ac2 0.667 0.333 0.000
Tl1 0.000 0.000 0.000
Au1 0.000 0.333 0.500
Au2 0.000 0.667 0.500
Au3 0.333 0.000 0.500
Au4 0.333 0.333 0.500
Au5 0.667 0.000 0.500
Au6 0.667 0.667 0.500

---

Version Q
Density functional theory data (PBE-GGA) for Ac2TlAu6 after structural relaxation.

Calculated values
Symmetry: P-3m1 (164)
Density in g cm⁻³: 13.738

a b c (Å): 6.676 6.676 5.761
angles (deg): 90.00 90.00 120.00
Element x y z (fractional)
Ac1 0.333 0.667 0.328
Ac2 0.667 0.333 0.672
Tl1 0.000 0.000 0.500
Au1 0.188 0.375 0.830
Au2 0.188 0.812 0.830
Au3 0.375 0.188 0.170
Au4 0.625 0.812 0.830
Au5 0.812 0.188 0.170
Au6 0.812 0.625 0.170

---

Bottom line: version Q, by a margin of 2.1 kJ/mol of atoms.

---

Version P
Density functional theory data (PBE-GGA) for Ac4Tl2Au after structural relaxation.

Calculated values
Symmetry: C2/m (12)
Density in g cm⁻³: 9.381

a b c (Å): 18.942 4.130 7.358
angles (deg): 90.00 111.41 90.00
Element x y z (fractional)
Ac1 0.091 0.000 0.437
Ac2 0.126 0.500 0.961
Ac3 0.374 0.000 0.039
Ac4 0.409 0.500 0.563
Ac5 0.591 0.500 0.437
Ac6 0.626 0.000 0.961
Ac7 0.874 0.500 0.039
Ac8 0.909 0.000 0.563
Tl1 0.244 0.500 0.679
Tl2 0.256 0.000 0.321
Tl3 0.744 0.000 0.679
Tl4 0.756 0.500 0.321
Au1 0.000 0.000 0.000
Au2 0.500 0.500 0.000

---

Version Q
Density functional theory data (PBE-GGA) for Ac4Tl2Au after structural relaxation.

Calculated values
Symmetry: R-3m (166)
Density in g cm⁻³: 9.614

a b c (Å): 9.838 9.838 9.838
angles (deg): 33.72 33.72 33.72
Element x y z (fractional)
Ac1 0.121 0.121 0.121
Ac2 0.371 0.371 0.371
Ac3 0.629 0.629 0.629
Ac4 0.879 0.879 0.879
Tl1 0.245 0.245 0.245
Tl2 0.755 0.755 0.755
Au1 0.000 0.000 0.000

---

Bottom line: version Q, by a margin of 2.0 kJ/mol of atoms.

---

Version P
Density functional theory data (PBE-GGA) for AcTl3Au8 after structural relaxation.

Calculated values
Symmetry: R3m (160)
Density in g cm⁻³: 14.813

a b c (Å): 10.006 10.006 10.006
angles (deg): 33.43 33.43 33.43
Element x y z (fractional)
Ac1 0.000 0.000 0.000
Tl1 0.127 0.127 0.127
Tl2 0.495 0.495 0.495
Tl3 0.617 0.617 0.617
Au1 0.059 0.563 0.563
Au2 0.062 0.062 0.562
Au3 0.062 0.562 0.062
Au4 0.312 0.312 0.312
Au5 0.562 0.062 0.062
Au6 0.563 0.059 0.563
Au7 0.563 0.563 0.059
Au8 0.812 0.812 0.812

---

Version Q
Density functional theory data (PBE-GGA) for AcTl3Au8 after structural relaxation.

Calculated values
Symmetry: P3m1 (156)
Density in g cm⁻³: 14.683

a b c (Å): 5.684 5.684 9.767
angles (deg): 90.00 90.00 120.00
Element x y z (fractional)
Ac1 0.000 0.000 0.000
Tl1 0.000 0.000 0.394
Tl2 0.667 0.333 0.487
Tl3 0.667 0.333 0.849
Au1 0.165 0.331 0.689
Au2 0.165 0.835 0.689
Au3 0.333 0.667 0.437
Au4 0.333 0.667 0.937
Au5 0.502 0.003 0.185
Au6 0.502 0.498 0.185
Au7 0.669 0.835 0.689
Au8 0.997 0.498 0.185

---

Bottom line: version Q, by a margin of 1.2 kJ/mol of atoms.

---

Version P
Density functional theory data (PBE-GGA) for Ac3Tl3Au2 after structural relaxation.

Calculated values
Symmetry: P-62m (189)
Density in g cm⁻³: 11.196

a b c (Å): 8.394 8.394 4.103
angles (deg): 90.00 90.00 120.00
Element x y z (fractional)
Ac1 0.000 0.408 0.000
Ac2 0.408 0.000 0.000
Ac3 0.592 0.592 0.000
Tl1 0.000 0.771 0.500
Tl2 0.229 0.229 0.500
Tl3 0.771 0.000 0.500
Au1 0.333 0.667 0.500
Au2 0.667 0.333 0.500

---

Version Q
Density functional theory data (PBE-GGA) for Ac3Tl3Au2 after structural relaxation.

Calculated values
Symmetry: Cmcm (63)
Density in g cm⁻³: 11.399

a b c (Å): 6.369 6.369 17.112
angles (deg): 90.00 90.00 134.88
Element x y z (fractional)
Ac1 0.090 0.910 0.607
Ac2 0.090 0.910 0.893
Ac3 0.353 0.647 0.750
Ac4 0.647 0.353 0.250
Ac5 0.910 0.090 0.107
Ac6 0.910 0.090 0.393
Tl1 0.363 0.637 0.250
Tl2 0.376 0.624 0.536
Tl3 0.376 0.624 0.964
Tl4 0.624 0.376 0.036
Tl5 0.624 0.376 0.464
Tl6 0.637 0.363 0.750
Au1 0.201 0.799 0.114
Au2 0.201 0.799 0.386
Au3 0.799 0.201 0.614
Au4 0.799 0.201 0.886

---

Bottom line: version P, by a margin of 6.3 kJ/mol of atoms.

---

Version P
Density functional theory data (PBE-GGA) for Ac2TmAu after structural relaxation.

Calculated values
Symmetry: P4/mmm (123)
Density in g cm⁻³: 10.007

a b c (Å): 3.930 3.930 8.809
angles (deg): 90.00 90.00 90.00
Element x y z (fractional)
Ac1 0.000 0.000 0.217
Ac2 0.000 0.000 0.783
Tm1 0.500 0.500 0.500
Au1 0.500 0.500 0.000

---

Version Q
Density functional theory data (PBE-GGA) for Ac2TmAu after structural relaxation.

Calculated values
Symmetry: R-3m (166)
Density in g cm⁻³: 9.033

a b c (Å): 3.819 3.819 35.799
angles (deg): 90.00 90.00 120.00
Element x y z (fractional)
Ac1 0.000 0.000 0.084
Ac2 0.000 0.000 0.916
Ac3 0.333 0.667 0.583
Ac4 0.333 0.667 0.750
Ac5 0.667 0.333 0.250
Ac6 0.667 0.333 0.417
Tm1 0.000 0.000 0.500
Tm2 0.333 0.667 0.167
Tm3 0.667 0.333 0.833
Au1 0.000 0.000 0.000
Au2 0.333 0.667 0.667
Au3 0.667 0.333 0.333

---

Bottom line: version P, by a margin of 47.6 kJ/mol of atoms.